# PBE K2NiPt, relaxed
data_K2NiPt
_chemical_formula_sum 'K2 Ni1 Pt1'
_space_group_name_H-M_alt 'P 1 2/m 1'
_space_group_IT_number 10
_cell_length_a 2.9963
_cell_length_b 5.0482
_cell_length_c 5.8398
_cell_angle_alpha 90.00
_cell_angle_beta 90.75
_cell_angle_gamma 90.00
loop_
_space_group_symop_operation_xyz
'x,y,z'
'-x,-y,-z'
'-x,y,-z'
'x,-y,z'
loop_
_atom_site_label
_atom_site_type_symbol
_atom_site_fract_x
_atom_site_fract_y
_atom_site_fract_z
K1 K 0.0018 0.0000 0.2491
Ni1 Ni 0.5000 0.5000 0.5000
Pt1 Pt 0.5000 0.5000 0.0000
# - DFT formation energy: 2.32 eV/f.u.
# - Relative energy among the computed polymorphs: 0.4837 eV/atom



# PBE CdTe, relaxed
data_CdTe
_chemical_formula_sum 'Cd6 Te6'
_space_group_name_H-M_alt 'R -3 m'
_space_group_IT_number 166
_space_group_name_Hall '-R 3 2"'
_cell_length_a 4.7048
_cell_length_b 4.7048
_cell_length_c 26.2485
_cell_angle_alpha 90.00
_cell_angle_beta 90.00
_cell_angle_gamma 120.00
loop_
_atom_site_label
_atom_site_type_symbol
_atom_site_fract_x
_atom_site_fract_y
_atom_site_fract_z
Cd1 Cd 0.0000 0.0000 0.0924
Te1 Te 0.0000 0.0000 0.4039
# - Energy relative to the elements, uncorrected: -212 meV/atom



# PBE WCSeN2, relaxed
data_WCSeN2
_chemical_formula_sum 'W1 C1 Se1 N2'
_space_group_name_H-M_alt 'P 4/m m m'
_space_group_IT_number 123
_space_group_name_Hall '-P 4 2'
_cell_length_a 3.6926
_cell_length_b 3.6926
_cell_length_c 3.8878
_cell_angle_alpha 90.00
_cell_angle_beta 90.00
_cell_angle_gamma 90.00
loop_
_atom_site_label
_atom_site_type_symbol
_atom_site_fract_x
_atom_site_fract_y
_atom_site_fract_z
W1 W 0.0000 0.0000 0.0000
C1 C 0.5000 0.5000 0.5000
Se1 Se 0.5000 0.5000 0.0000
N1 N 0.0000 0.5000 0.5000
# - Relative energy among the computed polymorphs: 0.7369 eV/atom
# - Energy relative to the elements, uncorrected: 2291 meV/atom



Values of size of the total moment, in order: 0.3 0.0 0.0, all in μB/f.u..